No. 1
# Tb5CeTm4 (PBE-GGA, optimized geometry)
data_Tb5CeTm4
_chemical_formula_sum 'Tb10 Ce2 Tm8'
_symmetry_space_group_name_H-M 'I 4 m m'
_symmetry_Int_Tables_number 107
_symmetry_space_group_name_Hall 'I 4 -2'
_cell_length_a 10.614
_cell_length_b 10.614
_cell_length_c 5.588
_cell_angle_alpha 90.00
_cell_angle_beta 90.00
_cell_angle_gamma 90.00
loop_
_atom_site_label
_atom_site_fract_x
_atom_site_fract_y
_atom_site_fract_z
Tb1 0.000 0.000 0.000
Tb2 0.185 0.185 0.389
Ce1 0.000 0.000 0.524
Tm1 0.000 0.332 0.882
# Energy of formation, eV per atom: 0.274
# Total moment, μB/f.u.: 0.00
# Theoretical density, g/cm3: 8.5

***

No. 2
# Tb4CeTm (PBE-GGA, optimized geometry)
data_Tb4CeTm
_chemical_formula_sum 'Tb16 Ce4 Tm4'
_symmetry_space_group_name_H-M 'I m m a'
_symmetry_Int_Tables_number 74
_symmetry_space_group_name_Hall '-I 2b 2'
_cell_length_a 6.621
_cell_length_b 11.506
_cell_length_c 10.070
_cell_angle_alpha 90.00
_cell_angle_beta 90.00
_cell_angle_gamma 90.00
loop_
_atom_site_label
_atom_site_fract_x
_atom_site_fract_y
_atom_site_fract_z
Tb1 0.000 0.004 0.165
Tb2 0.249 0.250 0.919
Ce1 0.000 0.000 0.500
Tm1 0.250 0.250 0.250
# Energy of formation, eV per atom: 0.275
# Total moment, μB/f.u.: 1.56
# Theoretical density, g/cm3: 8.2

***

No. 3
# Tb7CeTm2 (PBE-GGA, optimized geometry)
data_Tb7CeTm2
_chemical_formula_sum 'Tb14 Ce2 Tm4'
_symmetry_space_group_name_H-M 'C m m m'
_symmetry_Int_Tables_number 65
_symmetry_space_group_name_Hall '-C 2 2'
_cell_length_a 8.745
_cell_length_b 16.304
_cell_length_c 5.530
_cell_angle_alpha 90.00
_cell_angle_beta 90.00
_cell_angle_gamma 90.00
loop_
_atom_site_label
_atom_site_fract_x
_atom_site_fract_y
_atom_site_fract_z
Tb1 0.000 0.000 0.000
Tb2 0.000 0.289 0.500
Tb3 0.177 0.386 0.000
Ce1 0.000 0.500 0.500
Tm1 0.000 0.204 0.000
# Energy of formation, eV per atom: 0.722
# Total moment, μB/f.u.: 1.56
# Theoretical density, g/cm3: 6.7

***

No. 4
# Tb14CeTm (PBE-GGA, optimized geometry)
data_Tb14CeTm
_chemical_formula_sum 'Tb14 Ce1 Tm1'
_symmetry_space_group_name_H-M 'P 4/m m m'
_symmetry_Int_Tables_number 123
_symmetry_space_group_name_Hall '-P 4 2'
_cell_length_a 7.111
_cell_length_b 7.111
_cell_length_c 10.047
_cell_angle_alpha 90.00
_cell_angle_beta 90.00
_cell_angle_gamma 90.00
loop_
_atom_site_label
_atom_site_fract_x
_atom_site_fract_y
_atom_site_fract_z
Tb1 0.000 0.000 0.000
Tb2 0.000 0.500 0.000
Tb3 0.000 0.500 0.500
Tb4 0.249 0.249 0.251
Tb5 0.500 0.500 0.000
Ce1 0.000 0.000 0.500
Tm1 0.500 0.500 0.500
# Energy of formation, eV per atom: 0.026
# Total moment, μB/f.u.: 0.85
# Theoretical density, g/cm3: 8.3